Record 1
Density functional theory data (PBE) for crystalline ZrAl2BrF at its relaxed geometry.

Results
Space group = P4/mmm, No. 123
Crystal system = tetragonal
E_form (uncorrected) = -2.1 eV per formula unit
M_tot = 0.20 μB per atom

Cell and atoms, written as CIF:
```
data_ZrAl2BrF
_cell_length_a 5.673
_cell_length_b 5.673
_cell_length_c 4.187
_cell_angle_alpha 90.00
_cell_angle_beta 90.00
_cell_angle_gamma 90.00
_space_group_name_H-M_alt 'P 1'
_space_group_IT_number 1
_space_group_name_Hall 'P 1'
loop_
_atom_site_label
_atom_site_type_symbol
_atom_site_fract_x
_atom_site_fract_y
_atom_site_fract_z
Zr1 Zr 0.000 0.000 0.000
Al1 Al 0.000 0.500 0.000
Al2 Al 0.500 0.000 0.000
Br1 Br 0.500 0.500 0.500
F1 F 0.000 0.000 0.500
```



Record 2
Density functional theory data (PBE) for crystalline TcPIr at its relaxed geometry.

Results
Energy of formation from the pure elements = -0.571 eV/f.u.
Space group = I4mm, No. 107
Crystal system = tetragonal
M_tot = 0.00 μB per atom
E above lowest polymorph = 0.170 eV per atom

Cell and atoms, written as CIF:
```
data_TcPIr
_cell_length_a 5.255
_cell_length_b 5.255
_cell_length_c 5.255
_cell_angle_alpha 148.00
_cell_angle_beta 148.00
_cell_angle_gamma 45.88
_space_group_name_H-M_alt 'P 1'
_space_group_IT_number 1
_space_group_name_Hall 'P 1'
loop_
_atom_site_label
_atom_site_type_symbol
_atom_site_fract_x
_atom_site_fract_y
_atom_site_fract_z
Tc1 Tc 0.000 0.000 0.000
P1 P 0.636 0.636 0.000
Ir1 Ir 0.296 0.296 0.000
```



Record 3
Density functional theory data (PBE) for crystalline Ce2SI2O at its relaxed geometry.

Results
Space group = Pmc2_1, No. 26
Crystal system = orthorhombic
E_form (uncorrected) = -12.7 eV per formula unit
M_tot = 0.33 μB per atom

Cell and atoms, written as CIF:
```
data_Ce2SI2O
_cell_length_a 4.115
_cell_length_b 12.347
_cell_length_c 7.295
_cell_angle_alpha 90.00
_cell_angle_beta 90.00
_cell_angle_gamma 90.00
_space_group_name_H-M_alt 'P 1'
_space_group_IT_number 1
_space_group_name_Hall 'P 1'
loop_
_atom_site_label
_atom_site_type_symbol
_atom_site_fract_x
_atom_site_fract_y
_atom_site_fract_z
Ce1 Ce 0.000 0.061 0.000
Ce2 Ce 0.000 0.939 0.500
Ce3 Ce 0.500 0.195 0.412
Ce4 Ce 0.500 0.805 0.912
S1 S 0.500 0.044 0.704
S2 S 0.500 0.956 0.204
I1 I 0.000 0.382 0.524
I2 I 0.000 0.618 0.024
I3 I 0.500 0.274 0.003
I4 I 0.500 0.726 0.503
O1 O 0.000 0.116 0.353
O2 O 0.000 0.884 0.853
```



Record 4
Density functional theory data (PBE) for crystalline Ac3ErSn4 at its relaxed geometry.

Results
Energy of formation from the pure elements = -4.378 eV/f.u.
Space group = Pmn2_1, No. 31
Crystal system = orthorhombic
M_tot = 0.00 μB per atom

Cell and atoms, written as CIF:
```
data_Ac3ErSn4
_cell_length_a 11.611
_cell_length_b 6.739
_cell_length_c 6.735
_cell_angle_alpha 90.00
_cell_angle_beta 90.00
_cell_angle_gamma 90.00
_space_group_name_H-M_alt 'P 1'
_space_group_IT_number 1
_space_group_name_Hall 'P 1'
loop_
_atom_site_label
_atom_site_type_symbol
_atom_site_fract_x
_atom_site_fract_y
_atom_site_fract_z
Ac1 Ac 0.000 0.056 0.000
Ac2 Ac 0.247 0.271 0.689
Ac3 Ac 0.253 0.729 0.189
Ac4 Ac 0.500 0.944 0.500
Ac5 Ac 0.747 0.729 0.189
Ac6 Ac 0.753 0.271 0.689
Er1 Er 0.000 0.519 0.445
Er2 Er 0.500 0.481 0.945
Sn1 Sn 0.000 0.010 0.484
Sn2 Sn 0.000 0.541 0.946
Sn3 Sn 0.203 0.772 0.687
Sn4 Sn 0.297 0.228 0.187
Sn5 Sn 0.500 0.459 0.446
Sn6 Sn 0.500 0.990 0.984
Sn7 Sn 0.703 0.228 0.187
Sn8 Sn 0.797 0.772 0.687
```



Record 5
Density functional theory data (PBE) for crystalline Mn2GeN at its relaxed geometry.

Results
Space group = R3m, No. 160
Crystal system = trigonal
E_form (uncorrected) = -0.5 eV per formula unit
M_tot = 0.41 μB per atom

Cell and atoms, written as CIF:
```
data_Mn2GeN
_cell_length_a 6.687
_cell_length_b 6.687
_cell_length_c 6.687
_cell_angle_alpha 23.51
_cell_angle_beta 23.51
_cell_angle_gamma 23.51
_space_group_name_H-M_alt 'P 1'
_space_group_IT_number 1
_space_group_name_Hall 'P 1'
loop_
_atom_site_label
_atom_site_type_symbol
_atom_site_fract_x
_atom_site_fract_y
_atom_site_fract_z
Mn1 Mn 0.000 0.000 0.000
Mn2 Mn 0.126 0.126 0.126
Ge1 Ge 0.563 0.563 0.563
N1 N 0.730 0.730 0.730
```



Record 6
Density functional theory data (PBE) for crystalline BeCdAu2 at its relaxed geometry.

Results
Energy of formation from the pure elements = 0.524 eV/f.u.
Space group = F-43m, No. 216
Crystal system = cubic
M_tot = 0.00 μB per atom
E above lowest polymorph = 0.287 eV per atom

Cell and atoms, written as CIF:
```
data_BeCdAu2
_cell_length_a 4.565
_cell_length_b 4.565
_cell_length_c 4.565
_cell_angle_alpha 60.00
_cell_angle_beta 60.00
_cell_angle_gamma 60.00
_space_group_name_H-M_alt 'P 1'
_space_group_IT_number 1
_space_group_name_Hall 'P 1'
loop_
_atom_site_label
_atom_site_type_symbol
_atom_site_fract_x
_atom_site_fract_y
_atom_site_fract_z
Be1 Be 0.000 0.000 0.000
Cd1 Cd 0.250 0.250 0.250
Au1 Au 0.500 0.500 0.500
Au2 Au 0.750 0.750 0.750
```



Record 7
Density functional theory data (PBE) for crystalline YTePb2 at its relaxed geometry.

Results
Space group = I-42d, No. 122
Crystal system = tetragonal
E_form (uncorrected) = -0.6 eV per formula unit
M_tot = 0.00 μB per atom

Cell and atoms, written as CIF:
```
data_YTePb2
_cell_length_a 7.079
_cell_length_b 7.079
_cell_length_c 7.079
_cell_angle_alpha 101.63
_cell_angle_beta 101.63
_cell_angle_gamma 126.64
_space_group_name_H-M_alt 'P 1'
_space_group_IT_number 1
_space_group_name_Hall 'P 1'
loop_
_atom_site_label
_atom_site_type_symbol
_atom_site_fract_x
_atom_site_fract_y
_atom_site_fract_z
Y1 Y 0.000 0.000 0.000
Y2 Y 0.750 0.250 0.500
Te1 Te 0.250 0.750 0.500
Te2 Te 0.500 0.500 0.000
Pb1 Pb 0.126 0.625 0.001
Pb2 Pb 0.375 0.376 0.501
Pb3 Pb 0.624 0.125 0.999
Pb4 Pb 0.875 0.874 0.499
```



Record 8
Density functional theory data (PBE) for crystalline KCrAu at its relaxed geometry.

Results
Energy of formation from the pure elements = 0.956 eV/f.u.
Space group = Imma, No. 74
Crystal system = orthorhombic
M_tot = 1.49 μB per atom
E above lowest polymorph = 0.051 eV per atom

Cell and atoms, written as CIF:
```
data_KCrAu
_cell_length_a 7.186
_cell_length_b 7.186
_cell_length_c 7.186
_cell_angle_alpha 130.00
_cell_angle_beta 63.82
_cell_angle_gamma 142.97
_space_group_name_H-M_alt 'P 1'
_space_group_IT_number 1
_space_group_name_Hall 'P 1'
loop_
_atom_site_label
_atom_site_type_symbol
_atom_site_fract_x
_atom_site_fract_y
_atom_site_fract_z
K1 K 0.000 0.000 0.000
K2 K 0.500 0.000 0.500
Cr1 Cr 0.492 0.742 0.750
Cr2 Cr 0.508 0.258 0.250
Au1 Au 0.000 0.000 0.500
Au2 Au 0.000 0.500 0.000
```



Record 9
Density functional theory data (PBE) for crystalline AcSnHPd2 at its relaxed geometry.

Results
Space group = Cmcm, No. 63
Crystal system = orthorhombic
M_tot = 0.00 μB per atom
VASP energy = -0.1866 hartree per atom

Cell and atoms, written as CIF:
```
data_AcSnHPd2
_cell_length_a 6.316
_cell_length_b 6.316
_cell_length_c 7.456
_cell_angle_alpha 90.00
_cell_angle_beta 90.00
_cell_angle_gamma 139.23
_space_group_name_H-M_alt 'P 1'
_space_group_IT_number 1
_space_group_name_Hall 'P 1'
loop_
_atom_site_label
_atom_site_type_symbol
_atom_site_fract_x
_atom_site_fract_y
_atom_site_fract_z
Ac1 Ac 0.069 0.931 0.750
Ac2 Ac 0.931 0.069 0.250
Sn1 Sn 0.214 0.786 0.250
Sn2 Sn 0.786 0.214 0.750
H1 H 0.500 0.500 0.000
H2 H 0.500 0.500 0.500
Pd1 Pd 0.349 0.651 0.551
Pd2 Pd 0.349 0.651 0.949
Pd3 Pd 0.651 0.349 0.051
Pd4 Pd 0.651 0.349 0.449
```



Record 10
Density functional theory data (PBE) for crystalline K2SnAsF at its relaxed geometry.

Results
Space group = P4/mmm, No. 123
Crystal system = tetragonal
E_form (uncorrected) = -3.3 eV per formula unit
M_tot = 0.00 μB per atom

Cell and atoms, written as CIF:
```
data_K2SnAsF
_cell_length_a 6.458
_cell_length_b 6.458
_cell_length_c 5.166
_cell_angle_alpha 90.00
_cell_angle_beta 90.00
_cell_angle_gamma 90.00
_space_group_name_H-M_alt 'P 1'
_space_group_IT_number 1
_space_group_name_Hall 'P 1'
loop_
_atom_site_label
_atom_site_type_symbol
_atom_site_fract_x
_atom_site_fract_y
_atom_site_fract_z
K1 K 0.000 0.500 0.000
K2 K 0.500 0.000 0.000
Sn1 Sn 0.000 0.000 0.500
As1 As 0.000 0.000 0.000
F1 F 0.500 0.500 0.500
```



- Look up the M_tot of the fifth one.
  0.41 μB per atom